A geometry-optimized SiHg2 structure. Source: OQMD via LeMat-Bulk, functional PBE-GGA.

Summary:
Space-group type: Fd-3m (227)
Mass density, g cm⁻³: 10.09
E_tot, Ha/atom: -0.0470
Crystal system: cubic
V, Å³ per atom: 23.54

a b c (Å): 5.8454 5.8454 5.8454
angles (deg): 60.00 60.00 60.00
With the nearest neighbours (Å) after each atom.
Positions (direct):
Hg 0.6250 0.6250 0.1250  6 Hg 2.92
Hg 0.6250 0.1250 0.6250  6 Hg 2.92
Hg 0.1250 0.6250 0.6250  6 Hg 2.92
Hg 0.6250 0.6250 0.6250  6 Hg 2.92
Si 0.0000 0.0000 0.0000  12 Hg 3.43, 4 Si 3.58
Si 0.2500 0.2500 0.2500  12 Hg 3.43, 4 Si 3.58

A geometry-optimized Si2Hg structure. Source: OQMD via LeMat-Bulk, functional PBE-GGA.

Summary:
Space-group type: Fd-3m (227)
Mass density, g cm⁻³: 7.54
E_tot, Ha/atom: -0.1146
Crystal system: cubic
V, Å³ per atom: 18.84

a b c (Å): 5.4273 5.4273 5.4273
angles (deg): 60.00 60.00 60.00
With the nearest neighbours (Å) after each atom.
Positions (direct):
Hg 0.0000 0.0000 0.0000  12 Si 3.18, 4 Hg 3.32
Hg 0.2500 0.2500 0.2500  12 Si 3.18, 4 Hg 3.32
Si 0.6250 0.6250 0.1250  6 Si 2.71
Si 0.6250 0.1250 0.6250  6 Si 2.71
Si 0.1250 0.6250 0.6250  6 Si 2.71
Si 0.6250 0.6250 0.6250  6 Si 2.71

A geometry-optimized Si2Hg structure. Source: OQMD via LeMat-Bulk, functional PBE-GGA.

Summary:
Space-group type: I4/mmm (139)
Mass density, g cm⁻³: 6.48
E_tot, Ha/atom: -0.1251
Crystal system: tetragonal
V, Å³ per atom: 21.94

a b c (Å): 6.3147 6.3147 6.3147
angles (deg): 149.20 149.20 44.11
With the nearest neighbours (Å) after each atom.
Positions (direct):
Hg 0.0000 0.0000 0.0000  2 Si 2.55
Si 0.2181 0.2181 0.0000  4 Si 2.49, 1 Hg 2.55
Si 0.7819 0.7819 0.0000  4 Si 2.49, 1 Hg 2.55

A geometry-optimized SiHg2 structure. Source: OQMD via LeMat-Bulk, functional PBE-GGA.

Summary:
Space-group type: Fd-3m (227)
Mass density, g cm⁻³: 3.74
E_tot, Ha/atom: -0.0655
Crystal system: cubic
V, Å³ per atom: 63.54

a b c (Å): 8.1389 8.1389 8.1389
angles (deg): 60.00 60.00 60.00
With the nearest neighbours (Å) after each atom.
Positions (direct):
Hg 0.3750 0.3750 0.3750  2 Si 2.49
Hg 0.8750 0.3750 0.3750  2 Si 2.49
Hg 0.3750 0.8750 0.3750  2 Si 2.49
Hg 0.3750 0.3750 0.8750  2 Si 2.49
Si 0.2500 0.2500 0.2500  4 Hg 2.49
Si 0.5000 0.5000 0.5000  4 Hg 2.49

A geometry-optimized SiSnHg structure. Source: OQMD via LeMat-Bulk, functional PBE-GGA.

Summary:
Space-group type: F-43m (216)
Mass density, g cm⁻³: 7.62
E_tot, Ha/atom: -0.1081
Crystal system: cubic
V, Å³ per atom: 25.24

a b c (Å): 4.7485 4.7485 4.7485
angles (deg): 60.00 60.00 60.00
With the nearest neighbours (Å) after each atom.
Positions (direct):
Hg 0.2500 0.2500 0.2500  4 Si 2.91
Si 0.0000 0.0000 0.0000  4 Sn 2.91, 4 Hg 2.91
Sn 0.7500 0.7500 0.7500  4 Si 2.91

A geometry-optimized Si2SnHg structure. Source: OQMD via LeMat-Bulk, functional PBE-GGA.

Summary:
Space-group type: F-43m (216)
Mass density, g cm⁻³: 7.34
E_tot, Ha/atom: -0.1182
Crystal system: cubic
V, Å³ per atom: 21.22

a b c (Å): 4.9333 4.9333 4.9333
angles (deg): 60.00 60.00 60.00
With the nearest neighbours (Å) after each atom.
Positions (direct):
Hg 0.5000 0.5000 0.5000  4 Sn 3.02, 4 Si 3.02
Si 0.0000 0.0000 0.0000  4 Sn 3.02, 4 Si 3.02
Si 0.2500 0.2500 0.2500  4 Hg 3.02, 4 Si 3.02
Sn 0.7500 0.7500 0.7500  4 Hg 3.02, 4 Si 3.02

A geometry-optimized SrSi2Hg structure. Source: OQMD via LeMat-Bulk, functional PBE-GGA.

Summary:
Space-group type: F-43m (216)
Mass density, g cm⁻³: 6.02
E_tot, Ha/atom: -0.1107
Crystal system: cubic
V, Å³ per atom: 23.73

a b c (Å): 5.1203 5.1203 5.1203
angles (deg): 60.00 60.00 60.00
With the nearest neighbours (Å) after each atom.
Positions (direct):
Hg 0.2500 0.2500 0.2500  4 Sr 3.14, 4 Si 3.14
Si 0.0000 0.0000 0.0000  4 Si 3.14, 4 Hg 3.14
Si 0.7500 0.7500 0.7500  4 Sr 3.14, 4 Si 3.14
Sr 0.5000 0.5000 0.5000  4 Hg 3.14, 4 Si 3.14

A geometry-optimized TaSiHg structure. Source: OQMD via LeMat-Bulk, functional PBE-GGA.

Summary:
Space-group type: F-43m (216)
Mass density, g cm⁻³: 10.54
E_tot, Ha/atom: -0.1900
Crystal system: cubic
V, Å³ per atom: 21.50

a b c (Å): 4.5017 4.5017 4.5017
angles (deg): 60.00 60.00 60.00
With the nearest neighbours (Å) after each atom.
Positions (direct):
Hg 0.2500 0.2500 0.2500  4 Ta 2.76
Si 0.7500 0.7500 0.7500  4 Ta 2.76
Ta 0.0000 0.0000 0.0000  4 Hg 2.76, 4 Si 2.76

A geometry-optimized TaSiHg structure. Source: OQMD via LeMat-Bulk, functional PBE-GGA.

Summary:
Space-group type: F-43m (216)
Mass density, g cm⁻³: 11.70
E_tot, Ha/atom: -0.1941
Crystal system: cubic
V, Å³ per atom: 19.38

a b c (Å): 4.3480 4.3480 4.3480
angles (deg): 60.00 60.00 60.00
With the nearest neighbours (Å) after each atom.
Positions (direct):
Hg 0.2500 0.2500 0.2500  4 Si 2.66
Si 0.0000 0.0000 0.0000  4 Hg 2.66, 4 Ta 2.66
Ta 0.7500 0.7500 0.7500  4 Si 2.66

A geometry-optimized TaSi2Hg structure. Source: OQMD via LeMat-Bulk, functional PBE-GGA.

Summary:
Space-group type: F-43m (216)
Mass density, g cm⁻³: 10.23
E_tot, Ha/atom: -0.1834
Crystal system: cubic
V, Å³ per atom: 17.76

a b c (Å): 4.6486 4.6486 4.6486
angles (deg): 60.00 60.00 60.00
With the nearest neighbours (Å) after each atom.
Positions (direct):
Hg 0.2500 0.2500 0.2500  4 Si 2.85, 4 Ta 2.85
Si 0.0000 0.0000 0.0000  4 Hg 2.85, 4 Si 2.85
Si 0.7500 0.7500 0.7500  4 Ta 2.85, 4 Si 2.85
Ta 0.5000 0.5000 0.5000  4 Si 2.85, 4 Hg 2.85

A geometry-optimized SiTcHg structure. Source: OQMD via LeMat-Bulk, functional PBE-GGA.

Summary:
Space-group type: F-43m (216)
Mass density, g cm⁻³: 10.36
E_tot, Ha/atom: -0.1823
Crystal system: cubic
V, Å³ per atom: 17.45

a b c (Å): 4.1991 4.1991 4.1991
angles (deg): 60.00 60.00 60.00
With the nearest neighbours (Å) after each atom.
Positions (direct):
Hg 0.2500 0.2500 0.2500  4 Si 2.57
Si 0.0000 0.0000 0.0000  4 Hg 2.57, 4 Tc 2.57
Tc 0.7500 0.7500 0.7500  4 Si 2.57

A geometry-optimized SiTcHg2 structure. Source: OQMD via LeMat-Bulk, functional PBE-GGA.

Summary:
Space-group type: F-43m (216)
Mass density, g cm⁻³: 12.02
E_tot, Ha/atom: -0.1224
Crystal system: cubic
V, Å³ per atom: 18.20

a b c (Å): 4.6872 4.6872 4.6872
angles (deg): 60.00 60.00 60.00
With the nearest neighbours (Å) after each atom.
Positions (direct):
Hg 0.0000 0.0000 0.0000  4 Hg 2.87, 4 Tc 2.87
Hg 0.7500 0.7500 0.7500  4 Si 2.87, 4 Hg 2.87
Si 0.5000 0.5000 0.5000  4 Hg 2.87, 4 Tc 2.87
Tc 0.2500 0.2500 0.2500  4 Si 2.87, 4 Hg 2.87